Below is TcAsRu after structural relaxation, with properties calculated at the GGA-PBE level.

Output
Its formation energy is 0.003 eV/atom.

```
data_TcAsRu
_chemical_formula_sum 'Tc2 As2 Ru2'
_symmetry_space_group_name_H-M 'I 4 m m'
_symmetry_Int_Tables_number 107
_symmetry_space_group_name_Hall 'I 4 -2'
_cell_length_a 2.9728
_cell_length_b 2.9728
_cell_length_c 9.7536
_cell_angle_alpha 90.00
_cell_angle_beta 90.00
_cell_angle_gamma 90.00
loop_
_atom_site_label
_atom_site_type_symbol
_atom_site_fract_x
_atom_site_fract_y
_atom_site_fract_z
Tc1 Tc 0.0000 0.0000 0.0000
As1 As 0.0000 0.0000 0.6553
Ru1 Ru 0.0000 0.0000 0.3155
```